## i
Ga2Cu6Pt | PBE | optimized geometry

Cell: 6.0315 6.0315 4.1968 Å, 90.04 90.04 60.00°
Fractional positions:
Ga 0.1660 0.1660 0.1678
Ga 0.8340 0.8340 0.8322
Cu 0.1082 0.6955 0.3337
Cu 0.3037 0.3037 0.6672
Cu 0.3045 0.8918 0.6663
Cu 0.6955 0.1082 0.3337
Cu 0.6963 0.6963 0.3328
Cu 0.8918 0.3045 0.6663
Pt 0.5000 0.5000 0.0000

Computed properties:
M_tot = 0.0 μB/cell
space group = C2/m (12)


## ii
Ga2Cu6Pt | PBE | optimized geometry

Cell: 6.5919 6.5919 6.7738 Å, 115.13 115.13 86.56°
Fractional positions:
Ga 0.0942 0.2773 0.4338
Ga 0.2773 0.0942 0.9338
Ga 0.7227 0.9058 0.0662
Ga 0.9058 0.7227 0.5662
Cu 0.0869 0.8238 0.0316
Cu 0.1191 0.4229 0.8657
Cu 0.1762 0.9131 0.4684
Cu 0.3006 0.4901 0.3063
Cu 0.4229 0.1191 0.3657
Cu 0.4901 0.3006 0.8063
Cu 0.5099 0.6994 0.1937
Cu 0.5771 0.8809 0.6343
Cu 0.6994 0.5099 0.6937
Cu 0.8238 0.0869 0.5316
Cu 0.8809 0.5771 0.1343
Cu 0.9131 0.1762 0.9684
Pt 0.3237 0.6763 0.7500
Pt 0.6763 0.3237 0.2500

Computed properties:
M_tot = 0.0 μB/cell
space group = C2/c (15)


It is i that is the least stable of them.


## i
GaCu6Pt | PBE | optimized geometry

Cell: 7.1039 7.1039 7.1039 Å, 39.96 39.96 39.96°
Fractional positions:
Ga 0.0000 0.0000 0.0000
Cu 0.0630 0.0630 0.5615
Cu 0.0630 0.5615 0.0630
Cu 0.4385 0.9370 0.9370
Cu 0.5615 0.0630 0.0630
Cu 0.9370 0.4385 0.9370
Cu 0.9370 0.9370 0.4385
Pt 0.5000 0.5000 0.5000

Computed properties:
M_tot = 0.0 μB/cell
space group = R-3m (166)


## ii
GaCu6Pt | PBE | optimized geometry

Cell: 4.4172 4.4172 6.6293 Å, 103.71 103.71 69.90°
Fractional positions:
Ga 0.0000 0.0000 0.0000
Cu 0.0593 0.5437 0.7040
Cu 0.3679 0.3679 0.0773
Cu 0.4563 0.9407 0.2960
Cu 0.5437 0.0593 0.7040
Cu 0.6321 0.6321 0.9227
Cu 0.9407 0.4563 0.2960
Pt 0.5000 0.5000 0.5000

Computed properties:
M_tot = 0.0 μB/cell
space group = C2/m (12)


It is i that is the least stable of them.


## i
GaCuPt3 | PBE | optimized geometry

Cell: 6.7775 6.7775 7.2916 Å, 104.89 104.89 92.24°
Fractional positions:
Ga 0.0908 0.9092 0.7500
Ga 0.3666 0.6334 0.2500
Ga 0.6334 0.3666 0.7500
Ga 0.9092 0.0908 0.2500
Cu 0.1939 0.5396 0.5853
Cu 0.4604 0.8061 0.9147
Cu 0.5396 0.1939 0.0853
Cu 0.8061 0.4604 0.4147
Pt 0.0379 0.3965 0.1577
Pt 0.0430 0.7962 0.3824
Pt 0.2038 0.9570 0.1176
Pt 0.3049 0.4045 0.8920
Pt 0.3965 0.0379 0.6577
Pt 0.4045 0.3049 0.3920
Pt 0.5955 0.6951 0.6080
Pt 0.6035 0.9621 0.3423
Pt 0.6951 0.5955 0.1080
Pt 0.7962 0.0430 0.8824
Pt 0.9570 0.2038 0.6176
Pt 0.9621 0.6035 0.8423

Computed properties:
M_tot = 0.0 μB/cell
space group = C2/c (15)


## ii
GaCuPt3 | PBE | optimized geometry

Cell: 8.0923 8.0923 4.3739 Å, 92.37 92.37 148.64°
Fractional positions:
Ga 0.1518 0.8482 0.7500
Ga 0.8482 0.1518 0.2500
Cu 0.3494 0.6506 0.7500
Cu 0.6506 0.3494 0.2500
Pt 0.0611 0.9389 0.2500
Pt 0.2505 0.7495 0.2500
Pt 0.4416 0.5584 0.2500
Pt 0.5584 0.4416 0.7500
Pt 0.7495 0.2505 0.7500
Pt 0.9389 0.0611 0.7500

Computed properties:
M_tot = 0.0 μB/cell
space group = C2/c (15)


It is i that is the least stable of them.


## i
GaCu3Pt2 | PBE | optimized geometry

Cell: 2.7561 4.1653 7.1880 Å, 90.00 90.00 90.00°
Fractional positions:
Ga 0.0000 0.0000 0.0000
Cu 0.0000 0.0000 0.3389
Cu 0.0000 0.5000 0.4970
Cu 0.0000 0.5000 0.8268
Pt 0.5000 0.0000 0.6714
Pt 0.5000 0.5000 0.1609

Computed properties:
M_tot = 0.0 μB/cell
space group = Pmm2 (25)


## ii
GaCu3Pt2 | PBE | optimized geometry

Cell: 4.9812 4.9812 6.8905 Å, 100.71 100.71 92.24°
Fractional positions:
Ga 0.0875 0.9125 0.7500
Ga 0.9125 0.0875 0.2500
Cu 0.1768 0.3452 0.9912
Cu 0.3452 0.1768 0.4912
Cu 0.4226 0.5774 0.7500
Cu 0.5774 0.4226 0.2500
Cu 0.6548 0.8232 0.5088
Cu 0.8232 0.6548 0.0088
Pt 0.1209 0.6347 0.3772
Pt 0.3653 0.8791 0.1228
Pt 0.6347 0.1209 0.8772
Pt 0.8791 0.3653 0.6228

Computed properties:
M_tot = 0.0 μB/cell
space group = C2/c (15)


It is i that is the least stable of them.


## i
GaCu2Pt2 | PBE | optimized geometry

Cell: 7.1933 7.1933 7.1933 Å, 145.45 134.02 58.77°
Fractional positions:
Ga 0.3841 0.1341 0.2500
Ga 0.6159 0.8659 0.7500
Cu 0.1230 0.8730 0.2500
Cu 0.2492 0.4992 0.7500
Cu 0.7508 0.5008 0.2500
Cu 0.8770 0.1270 0.7500
Pt 0.1721 0.6741 0.4980
Pt 0.3239 0.3259 0.9980
Pt 0.6761 0.6741 0.0020
Pt 0.8279 0.3259 0.5020

Computed properties:
M_tot = 0.0 μB/cell
space group = Imma (74)


## ii
GaCu2Pt2 | PBE | optimized geometry

Cell: 7.1812 7.1812 2.8761 Å, 90.00 90.00 90.00°
Fractional positions:
Ga 0.0000 0.0000 0.0000
Ga 0.5000 0.5000 0.0000
Cu 0.1220 0.3780 0.0000
Cu 0.3780 0.8780 0.0000
Cu 0.6220 0.1220 0.0000
Cu 0.8780 0.6220 0.0000
Pt 0.1751 0.6751 0.5000
Pt 0.3249 0.1751 0.5000
Pt 0.6751 0.8249 0.5000
Pt 0.8249 0.3249 0.5000

Computed properties:
M_tot = 0.0 μB/cell
space group = P4/mbm (127)


## iii
GaCu2Pt2 | PBE | optimized geometry

Cell: 6.4829 6.4829 6.4829 Å, 146.47 146.47 48.15°
Fractional positions:
Ga 0.0000 0.0000 0.0000
Cu 0.4017 0.4017 0.0000
Cu 0.5983 0.5983 0.0000
Pt 0.2500 0.7500 0.5000
Pt 0.7500 0.2500 0.5000

Computed properties:
M_tot = 0.0 μB/cell
space group = I4/mmm (139)


It is iii that is the least stable of them.


## i
GaCu2Pt2 | PBE | optimized geometry

Cell: 6.4446 6.4446 3.7413 Å, 90.00 90.00 90.00°
Fractional positions:
Ga 0.0000 0.0000 0.0000
Ga 0.5000 0.5000 0.0000
Cu 0.1512 0.3488 0.5000
Cu 0.3488 0.8488 0.5000
Cu 0.6512 0.1512 0.5000
Cu 0.8488 0.6512 0.5000
Pt 0.1466 0.6466 0.0000
Pt 0.3534 0.1466 0.0000
Pt 0.6466 0.8534 0.0000
Pt 0.8534 0.3534 0.0000

Computed properties:
M_tot = 0.0 μB/cell
space group = P4/mbm (127)


## ii
GaCu2Pt2 | PBE | optimized geometry

Cell: 7.3088 7.3088 7.3088 Å, 153.99 153.99 37.11°
Fractional positions:
Ga 0.0000 0.0000 0.0000
Cu 0.2500 0.7500 0.5000
Cu 0.7500 0.2500 0.5000
Pt 0.4002 0.4002 0.0000
Pt 0.5998 0.5998 0.0000

Computed properties:
M_tot = 0.0 μB/cell
space group = I4/mmm (139)


It is ii that is the least stable of them.


## i
GaCu2Pt8 | PBE | optimized geometry

Cell: 7.2759 7.2759 6.1641 Å, 104.87 104.87 31.66°
Fractional positions:
Ga 0.0000 0.0000 0.0000
Cu 0.2733 0.2733 0.3645
Cu 0.7267 0.7267 0.6355
Pt 0.0948 0.0948 0.4488
Pt 0.1808 0.1808 0.9150
Pt 0.3611 0.3611 0.8103
Pt 0.4524 0.4524 0.2731
Pt 0.5476 0.5476 0.7269
Pt 0.6389 0.6389 0.1897
Pt 0.8192 0.8192 0.0850
Pt 0.9052 0.9052 0.5512

Computed properties:
M_tot = 0.0 μB/cell
space group = C2/m (12)


## ii
GaCu2Pt8 | PBE | optimized geometry

Cell: 6.8117 6.8117 4.6280 Å, 103.29 103.29 60.46°
Fractional positions:
Ga 0.0000 0.0000 0.0000
Cu 0.1253 0.1253 0.5023
Cu 0.8747 0.8747 0.4977
Pt 0.2237 0.2237 0.0612
Pt 0.2299 0.6293 0.2050
Pt 0.3550 0.3550 0.6495
Pt 0.3707 0.7701 0.7950
Pt 0.6293 0.2299 0.2050
Pt 0.6450 0.6450 0.3505
Pt 0.7701 0.3707 0.7950
Pt 0.7763 0.7763 0.9388

Computed properties:
M_tot = 0.0 μB/cell
space group = C2/m (12)


It is ii that is the least stable of them.


## i
GaCu2Pt4 | PBE | optimized geometry

Cell: 6.9330 6.9330 6.9330 Å, 140.97 140.97 56.39°
Fractional positions:
Ga 0.0000 0.0000 0.0000
Cu 0.3975 0.3975 0.0000
Cu 0.6025 0.6025 0.0000
Pt 0.0000 0.5000 0.5000
Pt 0.1965 0.1965 0.0000
Pt 0.5000 0.0000 0.5000
Pt 0.8035 0.8035 0.0000

Computed properties:
M_tot = 0.0 μB/cell
space group = I4/mmm (139)


## ii
GaCu2Pt4 | PBE | optimized geometry

Cell: 5.2587 5.2587 3.9842 Å, 90.00 90.00 94.76°
Fractional positions:
Ga 0.0000 0.0000 0.0000
Cu 0.2804 0.7196 0.5000
Cu 0.7196 0.2804 0.5000
Pt 0.0000 0.5000 0.0000
Pt 0.2267 0.2267 0.5000
Pt 0.5000 0.0000 0.0000
Pt 0.7733 0.7733 0.5000

Computed properties:
M_tot = 0.0 μB/cell
space group = Cmmm (65)


## iii
GaCu2Pt4 | PBE | optimized geometry

Cell: 5.5162 6.2295 7.1551 Å, 114.10 102.24 103.40°
Fractional positions:
Ga 0.0000 0.0000 0.0000
Ga 0.3533 0.8524 0.5595
Cu 0.0649 0.5501 0.7017
Cu 0.4430 0.4191 0.2824
Cu 0.5610 0.5532 0.6993
Cu 0.6552 0.1421 0.4124
Pt 0.1585 0.1393 0.4179
Pt 0.2256 0.7126 0.1380
Pt 0.2765 0.2844 0.8553
Pt 0.4887 0.9814 0.9757
Pt 0.7184 0.7089 0.1306
Pt 0.7687 0.2743 0.8339
Pt 0.8425 0.8430 0.5786
Pt 0.9439 0.4368 0.2920

Computed properties:
M_tot = 0.0 μB/cell
space group = P1 (1)


It is i that is the least stable of them.


## i
GaCu6Pt2 | PBE | optimized geometry

Cell: 7.3404 7.3404 2.7767 Å, 94.93 94.93 125.07°
Fractional positions:
Ga 0.0000 0.0000 0.0000
Cu 0.1780 0.5059 0.1640
Cu 0.3425 0.3425 0.6707
Cu 0.4941 0.8220 0.8360
Cu 0.5059 0.1780 0.1640
Cu 0.6575 0.6575 0.3293
Cu 0.8220 0.4941 0.8360
Pt 0.1619 0.8381 0.5000
Pt 0.8381 0.1619 0.5000

Computed properties:
M_tot = 0.0 μB/cell
space group = C2/m (12)


## ii
GaCu6Pt2 | PBE | optimized geometry

Cell: 4.9395 4.9395 4.9542 Å, 95.34 95.34 95.49°
Fractional positions:
Ga 0.0000 0.0000 0.0000
Cu 0.1692 0.4999 0.8308
Cu 0.1693 0.8307 0.5000
Cu 0.4999 0.1692 0.8308
Cu 0.5001 0.8308 0.1692
Cu 0.8307 0.1693 0.5000
Cu 0.8308 0.5001 0.1692
Pt 0.3233 0.3233 0.3232
Pt 0.6767 0.6767 0.6768

Computed properties:
M_tot = 0.0 μB/cell
space group = C2/m (12)


It is i that is the least stable of them.


## i
RbGa3Cu | PBE | optimized geometry

Cell: 7.0880 7.0880 4.9978 Å, 90.00 90.00 120.57°
Fractional positions:
Rb 0.0867 0.9133 0.7500
Rb 0.9133 0.0867 0.2500
Ga 0.1547 0.4642 0.7500
Ga 0.2947 0.7053 0.2500
Ga 0.4642 0.1547 0.2500
Ga 0.5358 0.8453 0.7500
Ga 0.7053 0.2947 0.7500
Ga 0.8453 0.5358 0.2500
Cu 0.5000 0.5000 0.0000
Cu 0.5000 0.5000 0.5000

Computed properties:
M_tot = 0.0 μB/cell
space group = Cmcm (63)


## ii
RbGa3Cu | PBE | optimized geometry

Cell: 6.0088 6.0088 6.0088 Å, 90.00 90.00 90.00°
Fractional positions:
Rb 0.0000 0.0000 0.0000
Ga 0.0000 0.0000 0.5000
Ga 0.0000 0.5000 0.0000
Ga 0.5000 0.0000 0.0000
Cu 0.5000 0.5000 0.5000

Computed properties:
M_tot = 0.0 μB/cell
space group = Pm-3m (221)


It is ii that is the least stable of them.